MnCdIn2: optimized geometry, PBE-GGA.

a b c (Å): 3.195 4.279 6.308
angles (deg): 90.00 90.00 90.00
Atoms (fractional coordinates):
Mn: 0.000 0.000 0.000
Cd: 0.500 0.500 0.241
In: 0.000 0.000 0.497
In: 0.500 0.500 0.783

## Properties
E_form (kcal/mol of atoms): 4.99
Crystal system: orthorhombic
Total magnetic moment (μB/cell): 3.62



Ca2SiF: optimized geometry, PBE-GGA.

a b c (Å): 6.216 6.216 6.216
angles (deg): 111.94 111.94 104.65
Atoms (fractional coordinates):
Ca: 0.056 0.625 0.931
Ca: 0.375 0.306 0.431
Ca: 0.694 0.125 0.069
Ca: 0.875 0.944 0.569
Si: 0.250 0.750 0.500
Si: 0.500 0.500 0.000
F: 0.000 0.000 0.000
F: 0.750 0.250 0.500

## Properties
Crystal system: tetragonal
Total magnetic moment (μB/cell): 1.93
Formation energy (no corrections) (meV per atom): -1425
E above lowest polymorph (kJ/mol of formula units): 0.0